Material: Zn2PdRuN
Method: DFT, PBE
State: optimized geometry

The structure in POSCAR format:
```
Zn2PdRuN
1.0
-1.285 2.078 -3.269
-2.270 -3.195 -1.139
-3.107 1.445 2.140
Ru Zn Pd N
1 2 1 1
direct
0.500 0.500 0.500
0.000 0.500 0.000
0.500 0.000 0.000
0.000 0.000 0.500
0.000 0.000 0.000
```

Calculated values
- size of the total moment (Bohr magnetons per cell) = 0.60
- symmetry = P4/mmm

Material: PdS2N2
Method: DFT, PBE
State: optimized geometry

The structure in POSCAR format:
```
PdS2N2
1.0
4.966 0.000 0.000
0.000 4.966 0.000
0.000 0.000 3.684
S Pd N
2 1 2
direct
0.000 0.500 0.000
0.500 0.000 0.000
0.000 0.000 0.000
0.500 0.500 0.500
0.000 0.000 0.500
```

Calculated values
- size of the total moment (Bohr magnetons per cell) = 1.23
- symmetry = P4/mmm

Material: PdS2N2
Method: DFT, PBE
State: optimized geometry

The structure in POSCAR format:
```
PdS2N2
1.0
3.695 0.000 0.000
0.000 3.695 0.000
0.000 0.000 8.052
S Pd N
2 1 2
direct
0.500 0.500 0.500
0.000 0.000 0.500
0.000 0.000 0.000
0.000 0.500 0.000
0.500 0.000 0.000
```

Calculated values
- size of the total moment (Bohr magnetons per cell) = 0.83
- symmetry = P4/mmm

Material: PdSN3
Method: DFT, PBE
State: optimized geometry

The structure in POSCAR format:
```
PdSN3
1.0
3.982 0.000 0.000
0.000 3.982 0.000
0.000 0.000 3.982
S Pd N
1 1 3
direct
0.500 0.500 0.500
0.000 0.000 0.000
0.000 0.500 0.000
0.000 0.000 0.500
0.500 0.000 0.000
```

Calculated values
- size of the total moment (Bohr magnetons per cell) = 3.35
- symmetry = Pm-3m

Material: PdSN2
Method: DFT, PBE
State: optimized geometry

The structure in POSCAR format:
```
PdSN2
1.0
-2.030 4.111 1.340
-4.321 -1.877 -0.787
-3.303 -0.192 4.100
S Pd N
2 2 4
direct
0.500 0.500 0.000
0.250 0.750 0.500
0.000 0.000 0.000
0.750 0.250 0.500
0.533 0.125 0.250
0.217 0.625 0.250
0.375 0.467 0.750
0.875 0.783 0.750
```

Calculated values
- size of the total moment (Bohr magnetons per cell) = 0.00
- symmetry = I-42d

Material: PdSN3
Method: DFT, PBE
State: optimized geometry

The structure in POSCAR format:
```
PdSN3
1.0
-1.576 -2.876 -1.397
1.177 -1.970 2.728
-2.973 0.744 1.820
S Pd N
1 1 3
direct
0.000 0.000 0.000
0.500 0.500 0.500
0.000 0.500 0.000
0.000 0.000 0.500
0.500 0.000 0.000
```

Calculated values
- size of the total moment (Bohr magnetons per cell) = 0.00
- symmetry = Pm-3m

Material: PdSN2
Method: DFT, PBE
State: optimized geometry

The structure in POSCAR format:
```
PdSN2
1.0
1.871 0.000 5.516
-0.936 1.620 5.516
-0.936 -1.620 5.516
S Pd N
1 1 2
direct
0.000 0.000 0.000
0.500 0.500 0.500
0.898 0.898 0.898
0.102 0.102 0.102
```

Calculated values
- size of the total moment (Bohr magnetons per cell) = 0.00
- symmetry = R-3m

Material: PdS2N2
Method: DFT, PBE
State: optimized geometry

The structure in POSCAR format:
```
PdS2N2
1.0
-0.320 3.273 -0.727
-2.763 0.156 1.919
4.110 1.686 5.782
S Pd N
2 1 2
direct
0.000 0.000 0.000
0.000 0.000 0.500
0.500 0.500 0.500
0.000 0.500 0.000
0.500 0.000 0.000
```

Calculated values
- size of the total moment (Bohr magnetons per cell) = 0.15
- symmetry = P4/mmm

Computed values of raw total energy (unit: eV for the cell shown) for the preceding records, in sequence: -22.69, -19.58, -21.80, -22.31, -41.52, -24.21, -21.90, -23.54.
Computed values of ΔE_f (raw) (unit: eV/f.u.) for the preceding records, in sequence: 2.7, 10.5, 8.3, 12.0, 5.2, 10.1, 4.1, 6.6.
Computed values of Fermi-level density of states (unit: states/eV per cell) for the preceding records, in sequence: 4.95, 4.33, 3.83, 2.94, 2.40, 5.07, 2.49, 3.71.